Record 1
## Tl2SbRu (GGA-PBE)

Data for a geometry-optimized Tl2SbRu structure.

Output
SG: No. 12
VASP energy in eV/atom: -3.94
Relative energy among the computed polymorphs in meV per atom: 496
Magnetic moment in μB/cell: 0.00

a b c (Å): 6.323 6.323 3.499
angles (deg): 105.54 105.54 125.04
Positions (direct):
Tl1 0.000 0.500 0.000
Tl2 0.500 0.000 0.000
Sb1 0.000 0.000 0.500
Ru1 0.500 0.500 0.500

=====

Record 2
## TlSb2Ru (GGA-PBE)

Data for a geometry-optimized TlSb2Ru structure.

Output
SG: No. 44
VASP energy in eV/atom: -4.94
Relative energy among the computed polymorphs in meV per atom: 31
Magnetic moment in μB/cell: 0.00

a b c (Å): 9.675 9.675 9.675
angles (deg): 160.72 160.38 27.64
Positions (direct):
Tl1 0.000 0.000 0.000
Sb1 0.350 0.350 0.000
Sb2 0.660 0.160 0.500
Ru1 0.236 0.736 0.500

=====

Record 3
## Tl2SbRu (GGA-PBE)

Data for a geometry-optimized Tl2SbRu structure.

Output
SG: No. 122
VASP energy in eV/atom: -3.57
Relative energy among the computed polymorphs in meV per atom: 859
Magnetic moment in μB/cell: 2.00

a b c (Å): 7.579 7.579 7.579
angles (deg): 126.93 126.93 78.37
Positions (direct):
Tl1 0.086 0.625 0.961
Tl2 0.375 0.336 0.461
Tl3 0.664 0.125 0.039
Tl4 0.875 0.914 0.539
Sb1 0.250 0.750 0.500
Sb2 0.500 0.500 0.000
Ru1 0.000 0.000 0.000
Ru2 0.750 0.250 0.500

=====

Record 4
## Tl2SbRu (GGA-PBE)

Data for a geometry-optimized Tl2SbRu structure.

Output
SG: No. 65
VASP energy in eV/atom: -3.86
Relative energy among the computed polymorphs in meV per atom: 567
Magnetic moment in μB/cell: 0.00

a b c (Å): 5.366 5.366 3.364
angles (deg): 90.00 90.00 109.57
Positions (direct):
Tl1 0.000 0.500 0.000
Tl2 0.500 0.000 0.000
Sb1 0.000 0.000 0.500
Ru1 0.500 0.500 0.500

=====

Record 5
## TlSb2Ru (GGA-PBE)

Data for a geometry-optimized TlSb2Ru structure.

Output
SG: No. 122
VASP energy in eV/atom: -4.69
Relative energy among the computed polymorphs in meV per atom: 282
Magnetic moment in μB/cell: 0.00

a b c (Å): 7.728 7.728 7.728
angles (deg): 129.94 129.94 73.51
Positions (direct):
Tl1 0.000 0.000 0.000
Tl2 0.750 0.250 0.500
Sb1 0.202 0.625 0.077
Sb2 0.375 0.452 0.577
Sb3 0.548 0.125 0.923
Sb4 0.875 0.798 0.423
Ru1 0.250 0.750 0.500
Ru2 0.500 0.500 0.000

=====

Record 6
## Tl2SbRu (GGA-PBE)

Data for a geometry-optimized Tl2SbRu structure.

Output
SG: No. 71
VASP energy in eV/atom: -4.33
Relative energy among the computed polymorphs in meV per atom: 106
Magnetic moment in μB/cell: 0.00

a b c (Å): 8.070 8.070 8.070
angles (deg): 157.33 149.08 38.68
Positions (direct):
Tl1 0.178 0.178 0.000
Tl2 0.822 0.822 0.000
Sb1 0.500 0.000 0.500
Ru1 0.000 0.500 0.500

=====

Record 7
## TlSb2Ru (GGA-PBE)

Data for a geometry-optimized TlSb2Ru structure.

Output
SG: No. 225
VASP energy in eV/atom: -4.53
Relative energy among the computed polymorphs in meV per atom: 448
Magnetic moment in μB/cell: 0.00

a b c (Å): 5.017 5.017 5.017
angles (deg): 60.00 60.00 60.00
Positions (direct):
Tl1 0.000 0.000 0.000
Sb1 0.250 0.250 0.250
Sb2 0.750 0.750 0.750
Ru1 0.500 0.500 0.500

=====

Record 8
## Tl3SbRu (GGA-PBE)

Data for a geometry-optimized Tl3SbRu structure.

Output
SG: No. 221
VASP energy in eV/atom: -3.62
Relative energy among the computed polymorphs in meV per atom: 0
Magnetic moment in μB/cell: 1.47

a b c (Å): 5.315 5.315 5.315
angles (deg): 90.00 90.00 90.00
Positions (direct):
Tl1 0.000 0.000 0.500
Tl2 0.000 0.500 0.000
Tl3 0.500 0.000 0.000
Sb1 0.500 0.500 0.500
Ru1 0.000 0.000 0.000

=====

Repeat the second record exactly.
## TlSb2Ru (GGA-PBE)

Data for a geometry-optimized TlSb2Ru structure.

Output
SG: No. 44
VASP energy in eV/atom: -4.94
Relative energy among the computed polymorphs in meV per atom: 31
Magnetic moment in μB/cell: 0.00

a b c (Å): 9.675 9.675 9.675
angles (deg): 160.72 160.38 27.64
Positions (direct):
Tl1 0.000 0.000 0.000
Sb1 0.350 0.350 0.000
Sb2 0.660 0.160 0.500
Ru1 0.236 0.736 0.500

=====

Repeat the second record exactly.
## TlSb2Ru (GGA-PBE)

Data for a geometry-optimized TlSb2Ru structure.

Output
SG: No. 44
VASP energy in eV/atom: -4.94
Relative energy among the computed polymorphs in meV per atom: 31
Magnetic moment in μB/cell: 0.00

a b c (Å): 9.675 9.675 9.675
angles (deg): 160.72 160.38 27.64
Positions (direct):
Tl1 0.000 0.000 0.000
Sb1 0.350 0.350 0.000
Sb2 0.660 0.160 0.500
Ru1 0.236 0.736 0.500

=====

- VASP energy of number 8 (Tl3SbRu)?
  -3.62 eV/atom